<a>
The following is a DFT calculation (PBE) of a relaxed TmSc2Mn crystal. Values from VASP.

Quantum ESPRESSO input file:
```
&SYSTEM
  ibrav = 0, nat = 4, ntyp = 3
/
ATOMIC_SPECIES
Tm 168.93 Tm.upf
Sc 44.96 Sc.upf
Mn 54.94 Mn.upf
CELL_PARAMETERS angstrom
3.213 0.000 0.000
0.000 3.213 0.000
0.000 0.000 8.468
ATOMIC_POSITIONS crystal
Tm 0.000 0.000 0.000
Sc 0.500 0.500 0.315
Sc 0.500 0.500 0.685
Mn 0.000 0.000 0.500
```

Output
space-group type = No. 123

=====

<b>
The following is a DFT calculation (PBE) of a relaxed TmSc2Mn crystal. Values from VASP.

Quantum ESPRESSO input file:
```
&SYSTEM
  ibrav = 0, nat = 4, ntyp = 3
/
ATOMIC_SPECIES
Tm 168.93 Tm.upf
Sc 44.96 Sc.upf
Mn 54.94 Mn.upf
CELL_PARAMETERS angstrom
0.000 3.556 3.556
3.556 0.000 3.556
3.556 3.556 0.000
ATOMIC_POSITIONS crystal
Tm 0.000 0.000 0.000
Sc 0.250 0.250 0.250
Sc 0.750 0.750 0.750
Mn 0.500 0.500 0.500
```

Output
space-group type = No. 225

=====

Short version: <b> is the least stable of them.

=====

<a>
The following is a DFT calculation (PBE) of a relaxed ScMnV crystal. Values from VASP.

Quantum ESPRESSO input file:
```
&SYSTEM
  ibrav = 0, nat = 6, ntyp = 3
/
ATOMIC_SPECIES
Sc 44.96 Sc.upf
Mn 54.94 Mn.upf
V 50.94 V.upf
CELL_PARAMETERS angstrom
1.550 -6.535 0.000
1.550 6.535 0.000
0.000 0.000 4.524
ATOMIC_POSITIONS crystal
Sc 0.078 0.922 0.750
Sc 0.922 0.078 0.250
Mn 0.391 0.609 0.750
Mn 0.609 0.391 0.250
V 0.236 0.764 0.250
V 0.764 0.236 0.750
```

Output
space-group type = No. 63

=====

<b>
The following is a DFT calculation (PBE) of a relaxed ScMnV crystal. Values from VASP.

Quantum ESPRESSO input file:
```
&SYSTEM
  ibrav = 0, nat = 3, ntyp = 3
/
ATOMIC_SPECIES
Sc 44.96 Sc.upf
Mn 54.94 Mn.upf
V 50.94 V.upf
CELL_PARAMETERS angstrom
-1.515 1.515 4.959
1.515 -1.515 4.959
1.515 1.515 -4.959
ATOMIC_POSITIONS crystal
Sc 0.000 0.000 0.000
Mn 0.683 0.683 0.000
V 0.297 0.297 0.000
```

Output
space-group type = No. 107

=====

Short version: <b> is the least stable of them.

=====

<a>
The following is a DFT calculation (PBE) of a relaxed ScMnW3 crystal. Values from VASP.

Quantum ESPRESSO input file:
```
&SYSTEM
  ibrav = 0, nat = 5, ntyp = 3
/
ATOMIC_SPECIES
Sc 44.96 Sc.upf
Mn 54.94 Mn.upf
W 183.84 W.upf
CELL_PARAMETERS angstrom
4.533 0.000 0.000
0.000 4.533 0.000
0.000 0.000 4.533
ATOMIC_POSITIONS crystal
Sc 0.000 0.000 0.000
Mn 0.500 0.500 0.500
W 0.000 0.500 0.500
W 0.500 0.000 0.500
W 0.500 0.500 0.000
```

Output
space-group type = No. 221

=====

<b>
The following is a DFT calculation (PBE) of a relaxed ScMnW3 crystal. Values from VASP.

Quantum ESPRESSO input file:
```
&SYSTEM
  ibrav = 0, nat = 5, ntyp = 3
/
ATOMIC_SPECIES
Sc 44.96 Sc.upf
Mn 54.94 Mn.upf
W 183.84 W.upf
CELL_PARAMETERS angstrom
4.539 0.000 0.000
0.000 4.539 0.000
0.000 0.000 4.539
ATOMIC_POSITIONS crystal
Sc 0.000 0.000 0.000
Mn 0.500 0.500 0.500
W 0.000 0.000 0.500
W 0.000 0.500 0.000
W 0.500 0.000 0.000
```

Output
space-group type = No. 221

=====

Short version: <b> is the least stable of them.

=====

<a>
The following is a DFT calculation (PBE) of a relaxed YSc2Mn2 crystal. Values from VASP.

Quantum ESPRESSO input file:
```
&SYSTEM
  ibrav = 0, nat = 10, ntyp = 3
/
ATOMIC_SPECIES
Y 88.91 Y.upf
Sc 44.96 Sc.upf
Mn 54.94 Mn.upf
CELL_PARAMETERS angstrom
7.676 0.000 0.000
0.000 7.676 0.000
0.000 0.000 3.560
ATOMIC_POSITIONS crystal
Y 0.000 0.000 0.000
Y 0.500 0.500 0.000
Sc 0.159 0.341 0.500
Sc 0.341 0.841 0.500
Sc 0.659 0.159 0.500
Sc 0.841 0.659 0.500
Mn 0.125 0.625 0.000
Mn 0.375 0.125 0.000
Mn 0.625 0.875 0.000
Mn 0.875 0.375 0.000
```

Output
space-group type = No. 127

=====

<b>
The following is a DFT calculation (PBE) of a relaxed YSc2Mn2 crystal. Values from VASP.

Quantum ESPRESSO input file:
```
&SYSTEM
  ibrav = 0, nat = 10, ntyp = 3
/
ATOMIC_SPECIES
Y 88.91 Y.upf
Sc 44.96 Sc.upf
Mn 54.94 Mn.upf
CELL_PARAMETERS angstrom
8.122 0.000 0.000
0.000 8.122 0.000
0.000 0.000 3.097
ATOMIC_POSITIONS crystal
Y 0.000 0.000 0.000
Y 0.500 0.500 0.000
Sc 0.130 0.370 0.000
Sc 0.370 0.870 0.000
Sc 0.630 0.130 0.000
Sc 0.870 0.630 0.000
Mn 0.166 0.666 0.500
Mn 0.334 0.166 0.500
Mn 0.666 0.834 0.500
Mn 0.834 0.334 0.500
```

Output
space-group type = No. 127

=====

Short version: <b> is the least stable of them.

=====

<a>
The following is a DFT calculation (PBE) of a relaxed ScMnZn3 crystal. Values from VASP.

Quantum ESPRESSO input file:
```
&SYSTEM
  ibrav = 0, nat = 5, ntyp = 3
/
ATOMIC_SPECIES
Sc 44.96 Sc.upf
Mn 54.94 Mn.upf
Zn 65.41 Zn.upf
CELL_PARAMETERS angstrom
5.096 0.000 0.000
0.000 5.096 0.000
0.000 0.000 5.096
ATOMIC_POSITIONS crystal
Sc 0.000 0.000 0.000
Mn 0.500 0.500 0.500
Zn 0.000 0.000 0.500
Zn 0.000 0.500 0.000
Zn 0.500 0.000 0.000
```

Output
space-group type = No. 221

=====

<b>
The following is a DFT calculation (PBE) of a relaxed ScMnZn3 crystal. Values from VASP.

Quantum ESPRESSO input file:
```
&SYSTEM
  ibrav = 0, nat = 5, ntyp = 3
/
ATOMIC_SPECIES
Sc 44.96 Sc.upf
Mn 54.94 Mn.upf
Zn 65.41 Zn.upf
CELL_PARAMETERS angstrom
4.572 0.000 0.000
0.000 4.572 0.000
0.000 0.000 4.572
ATOMIC_POSITIONS crystal
Sc 0.000 0.000 0.000
Mn 0.500 0.500 0.500
Zn 0.000 0.500 0.500
Zn 0.500 0.000 0.500
Zn 0.500 0.500 0.000
```

Output
space-group type = No. 221

=====

Short version: <a> is the least stable of them.

=====

<a>
The following is a DFT calculation (PBE) of a relaxed Zr2Sc2Mn crystal. Values from VASP.

Quantum ESPRESSO input file:
```
&SYSTEM
  ibrav = 0, nat = 10, ntyp = 3
/
ATOMIC_SPECIES
Zr 91.22 Zr.upf
Sc 44.96 Sc.upf
Mn 54.94 Mn.upf
CELL_PARAMETERS angstrom
6.546 0.000 0.000
0.000 6.546 0.000
0.000 0.000 5.044
ATOMIC_POSITIONS crystal
Zr 0.155 0.345 0.000
Zr 0.345 0.845 0.000
Zr 0.655 0.155 0.000
Zr 0.845 0.655 0.000
Sc 0.167 0.667 0.500
Sc 0.333 0.167 0.500
Sc 0.667 0.833 0.500
Sc 0.833 0.333 0.500
Mn 0.000 0.000 0.000
Mn 0.500 0.500 0.000
```

Output
space-group type = No. 127

=====

<b>
The following is a DFT calculation (PBE) of a relaxed Zr2Sc2Mn crystal. Values from VASP.

Quantum ESPRESSO input file:
```
&SYSTEM
  ibrav = 0, nat = 10, ntyp = 3
/
ATOMIC_SPECIES
Zr 91.22 Zr.upf
Sc 44.96 Sc.upf
Mn 54.94 Mn.upf
CELL_PARAMETERS angstrom
6.506 0.000 0.000
0.000 6.506 0.000
0.000 0.000 5.004
ATOMIC_POSITIONS crystal
Zr 0.163 0.337 0.000
Zr 0.337 0.837 0.000
Zr 0.663 0.163 0.000
Zr 0.837 0.663 0.000
Sc 0.155 0.655 0.500
Sc 0.345 0.155 0.500
Sc 0.655 0.845 0.500
Sc 0.845 0.345 0.500
Mn 0.000 0.000 0.500
Mn 0.500 0.500 0.500
```

Output
space-group type = No. 127

=====

Short version: <b> is the least stable of them.

=====

<a>
The following is a DFT calculation (PBE) of a relaxed ZrSc3Mn crystal. Values from VASP.

Quantum ESPRESSO input file:
```
&SYSTEM
  ibrav = 0, nat = 5, ntyp = 3
/
ATOMIC_SPECIES
Zr 91.22 Zr.upf
Sc 44.96 Sc.upf
Mn 54.94 Mn.upf
CELL_PARAMETERS angstrom
4.837 0.000 0.000
0.000 4.837 0.000
0.000 0.000 4.837
ATOMIC_POSITIONS crystal
Zr 0.000 0.000 0.000
Sc 0.000 0.500 0.500
Sc 0.500 0.000 0.500
Sc 0.500 0.500 0.000
Mn 0.500 0.500 0.500
```

Output
space-group type = No. 221

=====

<b>
The following is a DFT calculation (PBE) of a relaxed ZrSc3Mn crystal. Values from VASP.

Quantum ESPRESSO input file:
```
&SYSTEM
  ibrav = 0, nat = 5, ntyp = 3
/
ATOMIC_SPECIES
Zr 91.22 Zr.upf
Sc 44.96 Sc.upf
Mn 54.94 Mn.upf
CELL_PARAMETERS angstrom
5.008 0.000 0.000
0.000 5.008 0.000
0.000 0.000 5.008
ATOMIC_POSITIONS crystal
Zr 0.000 0.000 0.000
Sc 0.000 0.000 0.500
Sc 0.000 0.500 0.000
Sc 0.500 0.000 0.000
Mn 0.500 0.500 0.500
```

Output
space-group type = No. 221

=====

Short version: <b> is the least stable of them.

=====

<a>
The following is a DFT calculation (PBE) of a relaxed SrMnSe crystal. Values from VASP.

Quantum ESPRESSO input file:
```
&SYSTEM
  ibrav = 0, nat = 3, ntyp = 3
/
ATOMIC_SPECIES
Sr 87.62 Sr.upf
Mn 54.94 Mn.upf
Se 78.96 Se.upf
CELL_PARAMETERS angstrom
0.000 3.465 3.465
3.465 0.000 3.465
3.465 3.465 0.000
ATOMIC_POSITIONS crystal
Sr 0.000 0.000 0.000
Mn 0.500 0.500 0.500
Se 0.250 0.250 0.250
```

Output
space-group type = No. 216

=====

<b>
The following is a DFT calculation (PBE) of a relaxed SrMnSe crystal. Values from VASP.

Quantum ESPRESSO input file:
```
&SYSTEM
  ibrav = 0, nat = 3, ntyp = 3
/
ATOMIC_SPECIES
Sr 87.62 Sr.upf
Mn 54.94 Mn.upf
Se 78.96 Se.upf
CELL_PARAMETERS angstrom
0.000 3.669 3.669
3.669 0.000 3.669
3.669 3.669 0.000
ATOMIC_POSITIONS crystal
Sr 0.000 0.000 0.000
Mn 0.750 0.750 0.750
Se 0.250 0.250 0.250
```

Output
space-group type = No. 216

=====

Short version: <b> is the least stable of them.

=====

<a>
The following is a DFT calculation (PBE) of a relaxed TaMnSe2 crystal. Values from VASP.

Quantum ESPRESSO input file:
```
&SYSTEM
  ibrav = 0, nat = 4, ntyp = 3
/
ATOMIC_SPECIES
Ta 180.95 Ta.upf
Mn 54.94 Mn.upf
Se 78.96 Se.upf
CELL_PARAMETERS angstrom
3.712 0.000 0.000
0.000 3.728 0.000
0.000 0.000 6.756
ATOMIC_POSITIONS crystal
Ta 0.000 0.000 0.000
Mn 0.500 0.500 0.999
Se 0.000 0.500 0.260
Se 0.500 0.000 0.738
```

Output
space-group type = No. 25

=====

<b>
The following is a DFT calculation (PBE) of a relaxed TaMnSe2 crystal. Values from VASP.

Quantum ESPRESSO input file:
```
&SYSTEM
  ibrav = 0, nat = 4, ntyp = 3
/
ATOMIC_SPECIES
Ta 180.95 Ta.upf
Mn 54.94 Mn.upf
Se 78.96 Se.upf
CELL_PARAMETERS angstrom
0.000 3.135 3.135
3.135 0.000 3.135
3.135 3.135 0.000
ATOMIC_POSITIONS crystal
Ta 0.000 0.000 0.000
Mn 0.500 0.500 0.500
Se 0.250 0.250 0.250
Se 0.750 0.750 0.750
```

Output
space-group type = No. 225

=====

Short version: <b> is the least stable of them.

=====

<a>
The following is a DFT calculation (PBE) of a relaxed TaMnSe2 crystal. Values from VASP.

Quantum ESPRESSO input file:
```
&SYSTEM
  ibrav = 0, nat = 4, ntyp = 3
/
ATOMIC_SPECIES
Ta 180.95 Ta.upf
Mn 54.94 Mn.upf
Se 78.96 Se.upf
CELL_PARAMETERS angstrom
3.241 0.000 0.000
0.000 3.241 0.000
0.000 0.000 6.471
ATOMIC_POSITIONS crystal
Ta 0.000 0.000 0.000
Mn 0.000 0.000 0.500
Se 0.500 0.500 0.240
Se 0.500 0.500 0.760
```

Output
space-group type = No. 123

=====

<b>
The following is a DFT calculation (PBE) of a relaxed TaMnSe2 crystal. Values from VASP.

Quantum ESPRESSO input file:
```
&SYSTEM
  ibrav = 0, nat = 4, ntyp = 3
/
ATOMIC_SPECIES
Ta 180.95 Ta.upf
Mn 54.94 Mn.upf
Se 78.96 Se.upf
CELL_PARAMETERS angstrom
4.164 -1.690 0.000
4.164 1.690 0.000
-0.561 0.000 5.414
ATOMIC_POSITIONS crystal
Ta 0.000 0.000 0.000
Mn 0.500 0.500 0.500
Se 0.293 0.293 0.777
Se 0.707 0.707 0.223
```

Output
space-group type = No. 12

=====

Short version: <b> is the least stable of them.

=====

<a>
The following is a DFT calculation (PBE) of a relaxed TaMnSe2 crystal. Values from VASP.

Quantum ESPRESSO input file:
```
&SYSTEM
  ibrav = 0, nat = 8, ntyp = 3
/
ATOMIC_SPECIES
Ta 180.95 Ta.upf
Mn 54.94 Mn.upf
Se 78.96 Se.upf
CELL_PARAMETERS angstrom
-2.844 2.844 5.245
2.844 -2.844 5.245
2.844 2.844 -5.245
ATOMIC_POSITIONS crystal
Ta 0.000 0.000 0.000
Ta 0.750 0.250 0.500
Mn 0.250 0.750 0.500
Mn 0.500 0.500 0.000
Se 0.158 0.625 0.033
Se 0.375 0.408 0.533
Se 0.592 0.125 0.967
Se 0.875 0.842 0.467
```

Output
space-group type = No. 122

=====

<b>
The following is a DFT calculation (PBE) of a relaxed TaMnSe2 crystal. Values from VASP.

Quantum ESPRESSO input file:
```
&SYSTEM
  ibrav = 0, nat = 4, ntyp = 3
/
ATOMIC_SPECIES
Ta 180.95 Ta.upf
Mn 54.94 Mn.upf
Se 78.96 Se.upf
CELL_PARAMETERS angstrom
0.000 3.259 3.259
3.259 0.000 3.259
3.259 3.259 0.000
ATOMIC_POSITIONS crystal
Ta 0.000 0.000 0.000
Mn 0.750 0.750 0.750
Se 0.250 0.250 0.250
Se 0.500 0.500 0.500
```

Output
space-group type = No. 216

=====

Short version: <b> is the least stable of them.

=====

<a>
The following is a DFT calculation (PBE) of a relaxed TaMnSe2 crystal. Values from VASP.

Quantum ESPRESSO input file:
```
&SYSTEM
  ibrav = 0, nat = 4, ntyp = 3
/
ATOMIC_SPECIES
Ta 180.95 Ta.upf
Mn 54.94 Mn.upf
Se 78.96 Se.upf
CELL_PARAMETERS angstrom
3.062 0.000 0.000
0.000 3.062 0.000
0.000 0.000 8.180
ATOMIC_POSITIONS crystal
Ta 0.000 0.000 0.000
Mn 0.500 0.500 0.229
Se 0.000 0.000 0.367
Se 0.500 0.500 0.808
```

Output
space-group type = No. 99

=====

<b>
The following is a DFT calculation (PBE) of a relaxed TaMnSe2 crystal. Values from VASP.

Quantum ESPRESSO input file:
```
&SYSTEM
  ibrav = 0, nat = 4, ntyp = 3
/
ATOMIC_SPECIES
Ta 180.95 Ta.upf
Mn 54.94 Mn.upf
Se 78.96 Se.upf
CELL_PARAMETERS angstrom
-1.838 1.838 5.226
1.838 -1.838 5.226
1.838 1.838 -5.226
ATOMIC_POSITIONS crystal
Ta 0.000 0.000 0.000
Mn 0.250 0.750 0.500
Se 0.500 0.500 0.000
Se 0.750 0.250 0.500
```

Output
space-group type = No. 119

=====

Short version: <b> is the least stable of them.

=====

<a>
The following is a DFT calculation (PBE) of a relaxed TaMnSe2 crystal. Values from VASP.

Quantum ESPRESSO input file:
```
&SYSTEM
  ibrav = 0, nat = 4, ntyp = 3
/
ATOMIC_SPECIES
Ta 180.95 Ta.upf
Mn 54.94 Mn.upf
Se 78.96 Se.upf
CELL_PARAMETERS angstrom
4.231 -1.664 0.000
4.231 1.664 0.000
-0.955 0.000 6.513
ATOMIC_POSITIONS crystal
Ta 0.000 0.000 0.000
Mn 0.256 0.256 0.810
Se 0.514 0.514 0.686
Se 0.728 0.728 0.157
```

Output
space-group type = No. 8

=====

<b>
The following is a DFT calculation (PBE) of a relaxed TaMnSe2 crystal. Values from VASP.

Quantum ESPRESSO input file:
```
&SYSTEM
  ibrav = 0, nat = 4, ntyp = 3
/
ATOMIC_SPECIES
Ta 180.95 Ta.upf
Mn 54.94 Mn.upf
Se 78.96 Se.upf
CELL_PARAMETERS angstrom
1.691 0.976 8.432
-1.691 0.976 8.432
0.000 -1.953 8.432
ATOMIC_POSITIONS crystal
Ta 0.000 0.000 0.000
Mn 0.500 0.500 0.500
Se 0.402 0.402 0.402
Se 0.598 0.598 0.598
```

Output
space-group type = No. 166

=====

Short version: <b> is the least stable of them.

=====

<a>
The following is a DFT calculation (PBE) of a relaxed TaMn2Se6 crystal. Values from VASP.

Quantum ESPRESSO input file:
```
&SYSTEM
  ibrav = 0, nat = 9, ntyp = 3
/
ATOMIC_SPECIES
Ta 180.95 Ta.upf
Mn 54.94 Mn.upf
Se 78.96 Se.upf
CELL_PARAMETERS angstrom
7.545 -1.741 0.000
7.545 1.741 0.000
-3.577 0.000 8.022
ATOMIC_POSITIONS crystal
Ta 0.000 0.000 0.000
Mn 0.337 0.337 0.676
Mn 0.663 0.663 0.324
Se 0.159 0.159 0.520
Se 0.188 0.188 0.144
Se 0.483 0.483 0.207
Se 0.517 0.517 0.793
Se 0.812 0.812 0.856
Se 0.841 0.841 0.480
```

Output
space-group type = No. 12

=====

<b>
The following is a DFT calculation (PBE) of a relaxed TaMn2Se6 crystal. Values from VASP.

Quantum ESPRESSO input file:
```
&SYSTEM
  ibrav = 0, nat = 9, ntyp = 3
/
ATOMIC_SPECIES
Ta 180.95 Ta.upf
Mn 54.94 Mn.upf
Se 78.96 Se.upf
CELL_PARAMETERS angstrom
6.377 -2.413 0.000
6.377 2.413 0.000
-4.433 0.000 6.806
ATOMIC_POSITIONS crystal
Ta 0.000 0.000 0.000
Mn 0.176 0.176 0.585
Mn 0.824 0.824 0.415
Se 0.035 0.035 0.719
Se 0.247 0.247 0.342
Se 0.370 0.370 0.915
Se 0.630 0.630 0.085
Se 0.753 0.753 0.658
Se 0.965 0.965 0.281
```

Output
space-group type = No. 12

=====

Short version: <b> is the least stable of them.